Below is a relaxed PmYWO6 crystal, with properties calculated at the PBE with a Hubbard U level.

Results
**DOS(E_F)**: 0.0 states/eV per cell
**VASP energy**: -8.2328 eV/atom
**Space group**: No. 163

a = 5.580 Å, b = 5.580 Å, c = 9.768 Å
α = 90.00°, β = 90.00°, γ = 120.00°
Atoms (fractional coordinates):
O  0.333  0.958  0.638
O  0.042  0.375  0.638
O  0.625  0.667  0.638
O  0.333  0.375  0.862
O  0.625  0.958  0.862
O  0.958  0.625  0.362
O  0.667  0.042  0.362
O  0.958  0.333  0.138
O  0.375  0.333  0.362
O  0.375  0.042  0.138
O  0.042  0.667  0.862
O  0.667  0.625  0.138
Y  0.667  0.333  0.750
Y  0.333  0.667  0.250
Pm  0.000  0.000  0.500
Pm  0.000  0.000  0.000
W  0.667  0.333  0.250
W  0.333  0.667  0.750